(1)
Mo2AuSe PBE relaxed; ρ = 11.222 Mg/m³; electronic total energy = -6.83 eV/atom; formation energy without anion corrections = 279 meV per atom; spin magnetization = 0.00 μB/f.u.
1.0
2.9572 0.0000 0.0000
0.0000 4.5617 0.0000
-1.4654 0.0000 5.1316
Mo Au Se
2 1 1
Direct
0.0000 0.0000 0.0000 Mo
0.3844 0.5000 0.7729 Mo
0.7380 0.0000 0.4821 Au
0.0851 0.5000 0.1790 Se

(2)
Mo2AuSe PBE relaxed; ρ = 11.659 Mg/m³; electronic total energy = -6.76 eV/atom; formation energy without anion corrections = 343 meV per atom; spin magnetization = 0.00 μB/f.u.
1.0
-1.5380 2.2830 4.7438
1.5380 -2.2830 4.7438
1.5380 2.2830 -4.7438
Mo Au Se
2 1 1
Direct
0.0000 0.0000 0.0000 Mo
0.7417 0.2417 0.5000 Mo
0.2750 0.7750 0.5000 Au
0.5319 0.5319 0.0000 Se

(3)
Mo2AuSe PBE relaxed; ρ = 11.325 Mg/m³; electronic total energy = -6.44 eV/atom; formation energy without anion corrections = 662 meV per atom; spin magnetization = 0.32 μB/f.u.
1.0
0.0000 3.2490 3.2490
3.2490 0.0000 3.2490
3.2490 3.2490 0.0000
Mo Au Se
2 1 1
Direct
0.0000 0.0000 0.0000 Mo
0.2500 0.2500 0.2500 Mo
0.5000 0.5000 0.5000 Au
0.7500 0.7500 0.7500 Se

(4)
MoAu2Se PBE relaxed; ρ = 12.138 Mg/m³; electronic total energy = -4.95 eV/atom; formation energy without anion corrections = 269 meV per atom; spin magnetization = 0.00 μB/f.u.
1.0
6.6923 -1.4727 0.0000
6.6923 1.4727 0.0000
-1.2776 0.0000 3.9480
Mo Au Se
1 2 1
Direct
0.0000 0.0000 0.0000 Mo
0.3056 0.3056 0.8050 Au
0.6944 0.6944 0.1950 Au
0.5000 0.5000 0.5000 Se

(5)
MoAu2Se PBE relaxed; ρ = 13.430 Mg/m³; electronic total energy = -4.78 eV/atom; formation energy without anion corrections = 440 meV per atom; spin magnetization = 0.47 μB/f.u.
1.0
0.0000 3.2762 3.2762
3.2762 0.0000 3.2762
3.2762 3.2762 0.0000
Mo Au Se
1 2 1
Direct
0.0000 0.0000 0.0000 Mo
0.2500 0.2500 0.2500 Au
0.5000 0.5000 0.5000 Au
0.7500 0.7500 0.7500 Se

(6)
Mo2AuSe PBE relaxed; ρ = 10.748 Mg/m³; electronic total energy = -6.94 eV/atom; formation energy without anion corrections = 170 meV per atom; spin magnetization = 0.00 μB/f.u.
1.0
2.9605 0.0000 0.0000
0.0000 2.9605 0.0000
0.0000 0.0000 8.2464
Mo Au Se
2 1 1
Direct
0.0000 0.0000 0.0000 Mo
0.5000 0.5000 0.2301 Mo
0.5000 0.5000 0.7577 Au
0.0000 0.0000 0.4162 Se

(7)
Mo2AuSe PBE relaxed; ρ = 11.617 Mg/m³; electronic total energy = -6.54 eV/atom; formation energy without anion corrections = 562 meV per atom; spin magnetization = 0.00 μB/f.u.
1.0
-1.9986 1.9986 4.1851
1.9986 -1.9986 4.1851
1.9986 1.9986 -4.1851
Mo Au Se
2 1 1
Direct
0.0000 0.0000 0.0000 Mo
0.7500 0.2500 0.5000 Mo
0.5000 0.5000 0.0000 Au
0.2500 0.7500 0.5000 Se

(8)
MoAuSe PBE relaxed; ρ = 10.184 Mg/m³; electronic total energy = -5.50 eV/atom; formation energy without anion corrections = 359 meV per atom; spin magnetization = 0.94 μB/f.u.
1.0
0.0000 3.1182 3.1182
3.1182 0.0000 3.1182
3.1182 3.1182 0.0000
Mo Au Se
1 1 1
Direct
0.0000 0.0000 0.0000 Mo
0.2500 0.2500 0.2500 Au
0.7500 0.7500 0.7500 Se

(9)
MoAu2Se PBE relaxed; ρ = 12.137 Mg/m³; electronic total energy = -5.19 eV/atom; formation energy without anion corrections = 27 meV per atom; spin magnetization = 0.00 μB/f.u.
1.0
1.5174 0.8761 9.7579
-1.5174 0.8761 9.7579
0.0000 -1.7521 9.7579
Mo Au Se
1 2 1
Direct
0.0000 0.0000 0.0000 Mo
0.2550 0.2550 0.2550 Au
0.5073 0.5073 0.5073 Au
0.7271 0.7271 0.7271 Se

(10)
MoAu2Se PBE relaxed; ρ = 13.204 Mg/m³; electronic total energy = -4.78 eV/atom; formation energy without anion corrections = 440 meV per atom; spin magnetization = 0.31 μB/f.u.
1.0
3.0480 0.0000 0.0000
0.0000 4.5269 0.0000
0.0000 0.0000 5.1848
Mo Au Se
1 2 1
Direct
0.0000 0.0000 0.0000 Mo
0.0000 0.5000 0.5000 Au
0.5000 0.0000 0.5000 Au
0.5000 0.5000 0.0000 Se

(11)
MoAuSe PBE relaxed; ρ = 10.370 Mg/m³; electronic total energy = -5.79 eV/atom; formation energy without anion corrections = 73 meV per atom; spin magnetization = 0.00 μB/f.u.
1.0
-1.5043 1.5043 6.5785
1.5043 -1.5043 6.5785
1.5043 1.5043 -6.5785
Mo Au Se
1 1 1
Direct
0.0000 0.0000 0.0000 Mo
0.6449 0.6449 0.0000 Au
0.3853 0.3853 0.0000 Se

(12)
Mo2AuSe PBE relaxed; ρ = 11.666 Mg/m³; electronic total energy = -6.69 eV/atom; formation energy without anion corrections = 413 meV per atom; spin magnetization = 0.00 μB/f.u.
1.0
-1.6156 2.3044 4.4713
1.6156 -2.3044 4.4713
1.6156 2.3044 -4.4713
Mo Au Se
2 1 1
Direct
0.2190 0.2190 0.0000 Mo
0.7810 0.7810 0.0000 Mo
0.5000 0.0000 0.5000 Au
0.0000 0.5000 0.5000 Se

(13)
Mo2AuSe PBE relaxed; ρ = 10.784 Mg/m³; electronic total energy = -6.92 eV/atom; formation energy without anion corrections = 189 meV per atom; spin magnetization = 0.00 μB/f.u.
1.0
1.4879 0.8591 9.3921
-1.4879 0.8591 9.3921
0.0000 -1.7181 9.3921
Mo Au Se
2 1 1
Direct
0.0000 0.0000 0.0000 Mo
0.2520 0.2520 0.2520 Mo
0.7483 0.7483 0.7483 Au
0.5206 0.5206 0.5206 Se

(14)
MoAu2Se PBE relaxed; ρ = 12.267 Mg/m³; electronic total energy = -4.97 eV/atom; formation energy without anion corrections = 245 meV per atom; spin magnetization = 0.00 μB/f.u.
1.0
1.6027 -2.3706 0.0000
1.6027 2.3706 0.0000
0.0000 0.0000 10.1332
Mo Au Se
1 2 1
Direct
0.0000 0.0000 0.0000 Mo
0.0000 0.0000 0.4754 Au
0.5000 0.5000 0.2343 Au
0.5000 0.5000 0.8067 Se

(15)
MoAu2Se PBE relaxed; ρ = 12.259 Mg/m³; electronic total energy = -5.16 eV/atom; formation energy without anion corrections = 60 meV per atom; spin magnetization = 0.00 μB/f.u.
1.0
2.9900 0.0000 0.0000
0.0000 2.9900 0.0000
0.0000 0.0000 8.6190
Mo Au Se
1 2 1
Direct
0.0000 0.0000 0.0000 Mo
0.0000 0.0000 0.5325 Au
0.5000 0.5000 0.7709 Au
0.5000 0.5000 0.1750 Se

(16)
MoAuSe PBE relaxed; ρ = 10.683 Mg/m³; electronic total energy = -5.85 eV/atom; formation energy without anion corrections = 10 meV per atom; spin magnetization = 0.00 μB/f.u.
1.0
3.0736 0.0000 0.0000
-1.5368 2.6618 0.0000
0.0000 0.0000 7.0649
Mo Au Se
1 1 1
Direct
0.0000 0.0000 0.0000 Mo
0.3333 0.6667 0.6764 Au
0.6667 0.3333 0.2469 Se

(17)
MoAu2Se PBE relaxed; ρ = 13.188 Mg/m³; electronic total energy = -4.78 eV/atom; formation energy without anion corrections = 439 meV per atom; spin magnetization = 0.00 μB/f.u.
1.0
2.7032 -4.7851 0.0000
2.7032 4.7851 0.0000
0.0000 0.0000 2.7687
Mo Au Se
1 2 1
Direct
0.0000 0.0000 0.0000 Mo
0.0000 0.5000 0.5000 Au
0.5000 0.0000 0.5000 Au
0.5000 0.5000 0.0000 Se

(18)
Mo2AuSe PBE relaxed; ρ = 11.351 Mg/m³; electronic total energy = -6.72 eV/atom; formation energy without anion corrections = 384 meV per atom; spin magnetization = 0.00 μB/f.u.
1.0
4.0183 -1.4833 0.0000
4.0183 1.4833 0.0000
-1.0081 0.0000 5.7410
Mo Au Se
2 1 1
Direct
0.2480 0.2480 0.2193 Mo
0.7520 0.7520 0.7807 Mo
0.0000 0.0000 0.5000 Au
0.5000 0.5000 0.0000 Se

(19)
Mo2AuSe PBE relaxed; ρ = 11.384 Mg/m³; electronic total energy = -6.47 eV/atom; formation energy without anion corrections = 631 meV per atom; spin magnetization = 0.00 μB/f.u.
1.0
3.9091 0.0000 0.0000
0.0000 3.9091 0.0000
0.0000 0.0000 4.4656
Mo Au Se
2 1 1
Direct
0.0000 0.5000 0.0000 Mo
0.5000 0.0000 0.0000 Mo
0.0000 0.0000 0.5000 Au
0.5000 0.5000 0.5000 Se

(20)
MoAu2Se PBE relaxed; ρ = 12.721 Mg/m³; electronic total energy = -4.91 eV/atom; formation energy without anion corrections = 309 meV per atom; spin magnetization = 0.00 μB/f.u.
1.0
2.8167 0.0000 0.0000
0.0000 2.8167 0.0000
0.0000 0.0000 9.3590
Mo Au Se
1 2 1
Direct
0.0000 0.0000 0.0000 Mo
0.5000 0.5000 0.2212 Au
0.5000 0.5000 0.7788 Au
0.0000 0.0000 0.5000 Se